{
  "formula": "YPuPtAu",
  "functional": "PBE",
  "state": "optimized geometry",
  "space_group": "No. 99",
  "ef_ev_per_atom": -0.797,
  "lattice_angstrom": [[-0.424, -3.063, -1.672], [2.113, -1.566, 2.332], [-5.801, -1.511, 4.240]],
  "species": ["Y", "Pu", "Pt", "Au"],
  "frac_coords": [[0.500, 0.500, 0.596], [0.500, 0.500, 0.121], [0.000, 0.000, 0.369], [0.000, 0.000, 0.843]]
}

{
  "formula": "YPuPtAu",
  "functional": "PBE",
  "state": "optimized geometry",
  "space_group": "No. 216",
  "ef_ev_per_atom": -0.752,
  "lattice_angstrom": [[-3.566, -1.751, 3.111], [-0.883, -4.959, 0.288], [1.306, -2.558, 4.149]],
  "species": ["Y", "Au", "Pt", "Pu"],
  "frac_coords": [[0.500, 0.500, 0.500], [0.250, 0.250, 0.250], [0.750, 0.750, 0.750], [0.000, 0.000, 0.000]]
}

{
  "formula": "PuZnPtAu",
  "functional": "PBE",
  "state": "optimized geometry",
  "space_group": "No. 216",
  "ef_ev_per_atom": -0.428,
  "lattice_angstrom": [[4.820, 0.000, 0.000], [2.410, 4.174, 0.000], [2.410, 1.391, 3.935]],
  "species": ["Zn", "Au", "Pt", "Pu"],
  "frac_coords": [[0.500, 0.500, 0.500], [0.750, 0.750, 0.750], [0.250, 0.250, 0.250], [0.000, 0.000, 0.000]]
}

{
  "formula": "RbPt2Au2",
  "functional": "PBE",
  "state": "optimized geometry",
  "space_group": "No. 127",
  "ef_ev_per_atom": 0.090,
  "lattice_angstrom": [[-0.355, -0.170, -8.481], [6.866, -4.990, -0.188], [-1.666, -2.297, 0.116]],
  "species": ["Au", "Au", "Au", "Au", "Rb", "Rb", "Pt", "Pt", "Pt", "Pt"],
  "frac_coords": [[0.372, 0.872, 0.000], [0.872, 0.628, 0.000], [0.628, 0.128, 0.000], [0.128, 0.372, 0.000], [0.000, 0.000, 0.000], [0.500, 0.500, 0.000], [0.168, 0.668, 0.500], [0.668, 0.832, 0.500], [0.832, 0.332, 0.500], [0.332, 0.168, 0.500]]
}